This record from Alexandria describes CsInHg2Cl4 after structural relaxation. The functional is GGA-PBE. Values from VASP.

Cell and atoms, written as Quantum ESPRESSO input:
```
&SYSTEM
  ibrav = 0, nat = 8, ntyp = 4
/
ATOMIC_SPECIES
Cs 132.91 Cs.upf
In 114.82 In.upf
Hg 200.59 Hg.upf
Cl 35.45 Cl.upf
ATOMIC_POSITIONS crystal
Cs 0.0246 0.5785 0.1317
In 0.7197 0.6916 0.4203
Hg 0.6415 0.9392 0.0762
Hg 0.1075 0.3786 0.4615
Cl 0.7739 0.6118 0.6592
Cl 0.5352 0.3071 0.8922
Cl 0.4999 0.8294 0.3573
Cl 0.0847 0.0509 0.7758
CELL_PARAMETERS angstrom
9.7544 -0.0520 -0.5996
-0.1086 8.5696 -1.3353
-5.1865 -4.9610 5.1260
```

Its space group is No. 1. For the density of states at the Fermi level, the calculation gives 0.00 states/eV per cell. As for the spin magnetization: 0.000 μB/f.u. As for the total energy: -2.49 eV/atom.

This record from Alexandria describes CsInHg2Cl after structural relaxation. The functional is GGA-PBE. Values from VASP.

Cell and atoms, written as Quantum ESPRESSO input:
```
&SYSTEM
  ibrav = 0, nat = 5, ntyp = 4
/
ATOMIC_SPECIES
Cs 132.91 Cs.upf
Cl 35.45 Cl.upf
Hg 200.59 Hg.upf
In 114.82 In.upf
ATOMIC_POSITIONS crystal
Cs 0.5000 0.5000 0.5000
Cl 0.0000 0.0000 0.5000
Hg 0.0000 0.5000 0.0000
Hg 0.5000 0.0000 0.0000
In 0.0000 0.0000 0.0000
CELL_PARAMETERS angstrom
-4.6124 1.0771 -3.2061
-0.9899 -5.6143 -0.4619
-3.4191 0.1929 4.9837
```

Its space group is No. 123. For the density of states at the Fermi level, the calculation gives 1.21 states/eV per cell. As for the spin magnetization: 0.000 μB/f.u. As for the total energy: -1.78 eV/atom.

This record from Alexandria describes Cs2InHg2Cl4 after structural relaxation. The functional is GGA-PBE. Values from VASP.

Cell and atoms, written as Quantum ESPRESSO input:
```
&SYSTEM
  ibrav = 0, nat = 9, ntyp = 4
/
ATOMIC_SPECIES
Cs 132.91 Cs.upf
In 114.82 In.upf
Hg 200.59 Hg.upf
Cl 35.45 Cl.upf
ATOMIC_POSITIONS crystal
Cs 0.5000 0.7500 0.2500
Cs 0.5000 0.2500 0.7500
In 0.0000 0.0000 0.0000
Hg 0.0000 0.6674 0.6674
Hg 0.0000 0.3326 0.3326
Cl 0.0000 0.7657 0.2343
Cl 0.5314 0.7657 0.7657
Cl 0.0000 0.2343 0.7657
Cl 0.4686 0.2343 0.2343
CELL_PARAMETERS angstrom
-3.7636 -6.1813 -1.0701
6.0050 -1.2914 3.9737
-4.0258 4.8645 3.6942
```

Its space group is No. 139. For the density of states at the Fermi level, the calculation gives 1.12 states/eV per cell. As for the spin magnetization: 0.000 μB/f.u. As for the total energy: -2.57 eV/atom.

This record from Alexandria describes CsIn2HgCl8 after structural relaxation. The functional is GGA-PBE. Values from VASP.

Cell and atoms, written as Quantum ESPRESSO input:
```
&SYSTEM
  ibrav = 0, nat = 12, ntyp = 4
/
ATOMIC_SPECIES
Cs 132.91 Cs.upf
In 114.82 In.upf
Hg 200.59 Hg.upf
Cl 35.45 Cl.upf
ATOMIC_POSITIONS crystal
Cs 0.5000 0.5000 0.5000
In 0.2501 0.2501 0.2496
In 0.7499 0.7499 0.7504
Hg 0.0000 0.0000 0.0000
Cl 0.1696 0.1696 0.4911
Cl 0.5864 0.3043 0.1785
Cl 0.8304 0.8304 0.5089
Cl 0.9307 0.5864 0.1785
Cl 0.0693 0.4136 0.8215
Cl 0.3043 0.9307 0.1785
Cl 0.6957 0.0693 0.8215
Cl 0.4136 0.6957 0.8215
CELL_PARAMETERS angstrom
6.9767 0.0000 0.0000
3.4884 6.0420 0.0000
3.4884 2.0140 9.9271
```

Its space group is No. 148. For the density of states at the Fermi level, the calculation gives 3.53 states/eV per cell. As for the spin magnetization: 0.868 μB/f.u. As for the total energy: -2.88 eV/atom.

no.,raw formation energy (kJ/mol of formula units)
1,-805
2,-275
3,-1032
4,-1266